# Li2SmY2In5 | Alexandria | PBE | optimized geometry
# Symmetry: P4/mbm (127)
# Total magnetization in μB per cell: 0.00
# ΔE_f in kcal/mol of atoms: -9.0
data_Li2SmY2In5
_chemical_formula_sum 'Li4 Sm2 Y4 In10'
_space_group_name_H-M_alt 'P 1'
_space_group_IT_number 1
_cell_length_a 4.398
_cell_length_b 10.430
_cell_length_c 10.430
_cell_angle_alpha 90.00
_cell_angle_beta 90.00
_cell_angle_gamma 90.00
loop_
_space_group_symop_operation_xyz
'x,y,z'
loop_
_atom_site_label
_atom_site_fract_x
_atom_site_fract_y
_atom_site_fract_z
Li1 0.000 0.120 0.620
Li2 0.000 0.880 0.380
Li3 0.000 0.620 0.880
Li4 0.000 0.380 0.120
Sm1 0.000 0.000 0.000
Sm2 0.000 0.500 0.500
Y1 0.000 0.674 0.174
Y2 0.000 0.326 0.826
Y3 0.000 0.174 0.326
Y4 0.000 0.826 0.674
In1 0.500 0.214 0.075
In2 0.500 0.786 0.925
In3 0.500 0.075 0.786
In4 0.500 0.714 0.425
In5 0.500 0.925 0.214
In6 0.500 0.286 0.575
In7 0.500 0.575 0.714
In8 0.500 0.425 0.286
In9 0.500 0.500 0.000
In10 0.500 0.000 0.500